Record 1
A relaxed structure of Pm8Pt2O. Source: the Alexandria database, functional PBE.

Cell and atoms, written as CIF:
```
data_Pm8Pt2O
_symmetry_space_group_name_H-M 'C 1 2/m 1'
_symmetry_Int_Tables_number 12
_cell_length_a 17.919
_cell_length_b 3.805
_cell_length_c 9.025
_cell_angle_alpha 90.00
_cell_angle_beta 97.44
_cell_angle_gamma 90.00
loop_
_symmetry_equiv_pos_as_xyz
'x,y,z'
'-x,-y,-z'
'-x,y,-z'
'x,-y,z'
'x+1/2,y+1/2,z'
'-x+1/2,-y+1/2,-z'
'-x+1/2,y+1/2,-z'
'x+1/2,-y+1/2,z'
loop_
_atom_site_label
_atom_site_type_symbol
_atom_site_fract_x
_atom_site_fract_y
_atom_site_fract_z
Pm1 Pm 0.013 0.000 0.183
Pm2 Pm 0.095 0.500 0.561
Pm3 Pm 0.148 0.500 0.992
Pm4 Pm 0.208 0.000 0.339
Pt1 Pt 0.183 0.000 0.760
O1 O 0.000 0.500 0.000
```

Computed properties:
Final energy (eV per atom): -5.907
E_form (uncorrected) (kJ/mol of atoms): -87.2

***

Record 2
A relaxed structure of Pm3PtO2. Source: the Alexandria database, functional PBE.

Cell and atoms, written as CIF:
```
data_Pm3PtO2
_symmetry_space_group_name_H-M 'I m m m'
_symmetry_Int_Tables_number 71
_symmetry_space_group_name_Hall '-I 2 2'
_cell_length_a 3.970
_cell_length_b 5.015
_cell_length_c 12.135
_cell_angle_alpha 90.00
_cell_angle_beta 90.00
_cell_angle_gamma 90.00
loop_
_atom_site_label
_atom_site_type_symbol
_atom_site_fract_x
_atom_site_fract_y
_atom_site_fract_z
Pm1 Pm 0.000 0.000 0.000
Pm2 Pm 0.000 0.500 0.197
Pt1 Pt 0.000 0.000 0.500
O1 O 0.000 0.000 0.200
```

Computed properties:
Final energy (eV per atom): -7.237
E_form (uncorrected) (kJ/mol of atoms): -212.4

***

Record 3
A relaxed structure of PmPt2O4. Source: the Alexandria database, functional PBE.

Cell and atoms, written as CIF:
```
data_PmPt2O4
_symmetry_space_group_name_H-M 'P -1'
_symmetry_Int_Tables_number 2
_cell_length_a 5.455
_cell_length_b 6.117
_cell_length_c 7.186
_cell_angle_alpha 95.01
_cell_angle_beta 106.05
_cell_angle_gamma 110.02
loop_
_symmetry_equiv_pos_as_xyz
'x,y,z'
'-x,-y,-z'
loop_
_atom_site_label
_atom_site_type_symbol
_atom_site_fract_x
_atom_site_fract_y
_atom_site_fract_z
Pm1 Pm 0.148 0.443 0.276
Pt1 Pt 0.000 0.000 0.500
Pt2 Pt 0.500 0.000 0.000
Pt3 Pt 0.500 0.000 0.500
Pt4 Pt 0.500 0.500 0.000
O1 O 0.156 0.741 0.522
O2 O 0.240 0.672 0.017
O3 O 0.326 0.207 0.088
O4 O 0.366 0.269 0.532
```

Computed properties:
Final energy (eV per atom): -6.590
E_form (uncorrected) (kJ/mol of atoms): -130.5

***

Record 4
A relaxed structure of Pm4Pt2O. Source: the Alexandria database, functional PBE.

Cell and atoms, written as CIF:
```
data_Pm4Pt2O
_symmetry_space_group_name_H-M 'P 1 21/m 1'
_symmetry_Int_Tables_number 11
_cell_length_a 6.820
_cell_length_b 7.047
_cell_length_c 7.812
_cell_angle_alpha 90.00
_cell_angle_beta 106.52
_cell_angle_gamma 90.00
loop_
_symmetry_equiv_pos_as_xyz
'x,y,z'
'-x,-y,-z'
'-x,y+1/2,-z'
'x,-y+1/2,z'
loop_
_atom_site_label
_atom_site_type_symbol
_atom_site_fract_x
_atom_site_fract_y
_atom_site_fract_z
Pm1 Pm 0.007 0.007 0.251
Pm2 Pm 0.434 0.250 0.600
Pm3 Pm 0.447 0.250 0.122
Pt1 Pt 0.223 0.750 0.549
Pt2 Pt 0.232 0.750 0.063
O1 O 0.238 0.250 0.306
```

Computed properties:
Relative energy among the computed polymorphs (meV/atom): 0.0
Final energy (eV per atom): -6.604
E_form (uncorrected) (kJ/mol of atoms): -140.4

***

Record 5
A relaxed structure of Pm2PtO6. Source: the Alexandria database, functional PBE.

Cell and atoms, written as CIF:
```
data_Pm2PtO6
_symmetry_space_group_name_H-M 'I m m m'
_symmetry_Int_Tables_number 71
_symmetry_space_group_name_Hall '-I 2 2'
_cell_length_a 3.743
_cell_length_b 5.490
_cell_length_c 11.263
_cell_angle_alpha 90.00
_cell_angle_beta 90.00
_cell_angle_gamma 90.00
loop_
_atom_site_label
_atom_site_type_symbol
_atom_site_fract_x
_atom_site_fract_y
_atom_site_fract_z
Pm1 Pm 0.000 0.000 0.169
Pt1 Pt 0.000 0.000 0.500
O1 O 0.000 0.231 0.352
O2 O 0.000 0.291 0.000
```

Computed properties:
Relative energy among the computed polymorphs (meV/atom): 151.6
Final energy (eV per atom): -6.895
E_form (uncorrected) (kJ/mol of atoms): -179.7

***

Record 6
A relaxed structure of Pm4Pt2O. Source: the Alexandria database, functional PBE.

Cell and atoms, written as CIF:
```
data_Pm4Pt2O
_symmetry_space_group_name_H-M 'I 4/m m m'
_symmetry_Int_Tables_number 139
_symmetry_space_group_name_Hall '-I 4 2'
_cell_length_a 4.772
_cell_length_b 4.772
_cell_length_c 14.799
_cell_angle_alpha 90.00
_cell_angle_beta 90.00
_cell_angle_gamma 90.00
loop_
_atom_site_label
_atom_site_type_symbol
_atom_site_fract_x
_atom_site_fract_y
_atom_site_fract_z
Pm1 Pm 0.000 0.000 0.184
Pm2 Pm 0.000 0.500 0.000
Pt1 Pt 0.000 0.000 0.372
O1 O 0.000 0.000 0.000
```

Computed properties:
Relative energy among the computed polymorphs (meV/atom): 21.8
Final energy (eV per atom): -6.582
E_form (uncorrected) (kJ/mol of atoms): -138.3

***

Record 7
A relaxed structure of Pm3PtO. Source: the Alexandria database, functional PBE.

Cell and atoms, written as CIF:
```
data_Pm3PtO
_symmetry_space_group_name_H-M 'P m -3 m'
_symmetry_Int_Tables_number 221
_symmetry_space_group_name_Hall '-P 4 2 3'
_cell_length_a 4.820
_cell_length_b 4.820
_cell_length_c 4.820
_cell_angle_alpha 90.00
_cell_angle_beta 90.00
_cell_angle_gamma 90.00
loop_
_atom_site_label
_atom_site_type_symbol
_atom_site_fract_x
_atom_site_fract_y
_atom_site_fract_z
Pm1 Pm 0.000 0.000 0.500
Pt1 Pt 0.500 0.500 0.500
O1 O 0.000 0.000 0.000
```

Computed properties:
Relative energy among the computed polymorphs (meV/atom): 144.9
Final energy (eV per atom): -6.484
E_form (uncorrected) (kJ/mol of atoms): -138.4

***

Record 8
A relaxed structure of PmPtO4. Source: the Alexandria database, functional PBE.

Cell and atoms, written as CIF:
```
data_PmPtO4
_symmetry_space_group_name_H-M 'C 1 2/c 1'
_symmetry_Int_Tables_number 15
_cell_length_a 11.563
_cell_length_b 5.083
_cell_length_c 5.488
_cell_angle_alpha 90.00
_cell_angle_beta 110.47
_cell_angle_gamma 90.00
loop_
_symmetry_equiv_pos_as_xyz
'x,y,z'
'-x,-y,-z'
'-x,y,-z+1/2'
'x,-y,z+1/2'
'x+1/2,y+1/2,z'
'-x+1/2,-y+1/2,-z'
'-x+1/2,y+1/2,-z+1/2'
'x+1/2,-y+1/2,z+1/2'
loop_
_atom_site_label
_atom_site_type_symbol
_atom_site_fract_x
_atom_site_fract_y
_atom_site_fract_z
Pm1 Pm 0.000 0.222 0.250
Pt1 Pt 0.250 0.250 0.000
O1 O 0.089 0.395 0.953
O2 O 0.169 0.046 0.656
```

Computed properties:
Relative energy among the computed polymorphs (meV/atom): 0.0
Final energy (eV per atom): -6.702
E_form (uncorrected) (kJ/mol of atoms): -154.2

***

Record 9
A relaxed structure of Pm3PtO. Source: the Alexandria database, functional PBE.

Cell and atoms, written as CIF:
```
data_Pm3PtO
_symmetry_space_group_name_H-M 'C 1 2/c 1'
_symmetry_Int_Tables_number 15
_cell_length_a 12.784
_cell_length_b 12.216
_cell_length_c 7.123
_cell_angle_alpha 90.00
_cell_angle_beta 102.12
_cell_angle_gamma 90.00
loop_
_symmetry_equiv_pos_as_xyz
'x,y,z'
'-x,-y,-z'
'-x,y,-z+1/2'
'x,-y,z+1/2'
'x+1/2,y+1/2,z'
'-x+1/2,-y+1/2,-z'
'-x+1/2,y+1/2,-z+1/2'
'x+1/2,-y+1/2,z+1/2'
loop_
_atom_site_label
_atom_site_type_symbol
_atom_site_fract_x
_atom_site_fract_y
_atom_site_fract_z
Pm1 Pm 0.117 0.101 0.133
Pm2 Pm 0.128 0.260 0.633
Pm3 Pm 0.141 0.435 0.090
Pt1 Pt 0.000 0.085 0.750
Pt2 Pt 0.000 0.290 0.250
O1 O 0.195 0.421 0.794
```

Computed properties:
Relative energy among the computed polymorphs (meV/atom): 0.0
Final energy (eV per atom): -6.629
E_form (uncorrected) (kJ/mol of atoms): -152.4

***

Record 10
A relaxed structure of Pm4PtO. Source: the Alexandria database, functional PBE.

Cell and atoms, written as CIF:
```
data_Pm4PtO
_symmetry_space_group_name_H-M 'C m c 21'
_symmetry_Int_Tables_number 36
_cell_length_a 4.929
_cell_length_b 17.988
_cell_length_c 6.653
_cell_angle_alpha 90.00
_cell_angle_beta 90.00
_cell_angle_gamma 90.00
loop_
_symmetry_equiv_pos_as_xyz
'x,y,z'
'-x,-y,z+1/2'
'-x,y,z'
'x,-y,z+1/2'
'x+1/2,y+1/2,z'
'-x+1/2,-y+1/2,z+1/2'
'-x+1/2,y+1/2,z'
'x+1/2,-y+1/2,z+1/2'
loop_
_atom_site_label
_atom_site_type_symbol
_atom_site_fract_x
_atom_site_fract_y
_atom_site_fract_z
Pm1 Pm 0.000 0.024 0.000
Pm2 Pm 0.000 0.159 0.361
Pm3 Pm 0.000 0.218 0.872
Pm4 Pm 0.000 0.408 0.192
Pt1 Pt 0.000 0.400 0.674
O1 O 0.000 0.094 0.688
```

Computed properties:
Final energy (eV per atom): -6.193
E_form (uncorrected) (kJ/mol of atoms): -115.1

***

Record 11
A relaxed structure of Pm12Pt3O5. Source: the Alexandria database, functional PBE.

Cell and atoms, written as CIF:
```
data_Pm12Pt3O5
_symmetry_space_group_name_H-M 'I a -3 d'
_symmetry_Int_Tables_number 230
_symmetry_space_group_name_Hall '-I 4bd 2c 3'
_cell_length_a 15.658
_cell_length_b 15.658
_cell_length_c 15.658
_cell_angle_alpha 90.00
_cell_angle_beta 90.00
_cell_angle_gamma 90.00
loop_
_atom_site_label
_atom_site_type_symbol
_atom_site_fract_x
_atom_site_fract_y
_atom_site_fract_z
Pm1 Pm 0.034 0.055 0.650
Pt1 Pt 0.000 0.250 0.125
O1 O 0.000 0.000 0.000
O2 O 0.000 0.250 0.375
```

Computed properties:
Final energy (eV per atom): -6.672
E_form (uncorrected) (kJ/mol of atoms): -161.7

***

Record 12
A relaxed structure of PmPtO. Source: the Alexandria database, functional PBE.

Cell and atoms, written as CIF:
```
data_PmPtO
_symmetry_space_group_name_H-M 'R -3 m'
_symmetry_Int_Tables_number 166
_symmetry_space_group_name_Hall '-R 3 2"'
_cell_length_a 3.8867
_cell_length_b 3.8867
_cell_length_c 31.1470
_cell_angle_alpha 90.00
_cell_angle_beta 90.00
_cell_angle_gamma 120.00
loop_
_atom_site_label
_atom_site_type_symbol
_atom_site_fract_x
_atom_site_fract_y
_atom_site_fract_z
Pm1 Pm 0.0000 0.0000 0.0592
Pt1 Pt 0.0000 0.0000 0.4542
O1 O 0.0000 0.0000 0.1274
```

Computed properties:
Final energy (eV per atom): -5.714
E_form (uncorrected) (kJ/mol of atoms): -44.8

***

> Among the records above, which one has the highest E_form (uncorrected)?

PmPtO

***

> Look up the E_form (uncorrected) of the fifth one.

-179.7 kJ/mol of atoms

***

> The highest E_form (uncorrected) belongs to which entry?

PmPtO

***

> Which of these has the highest final energy?

PmPtO